1.
Here is TcAgMo2 after structural relaxation from Alexandria. Energies are from PBE.

## Properties
Relative energy among the computed polymorphs: 135 meV/atom
DOS(E_F): 2.11 states/eV/f.u.
DFT formation energy: 0.4093 eV/atom
Total moment: 0.000 μB per atom

Lattice parameters (Å, degrees): 3.9880 3.9880 7.8952 90.00 90.00 90.00
Space group I4/mmm (No. 139)
Symmetry-distinct sites (fractional):
Tc 0.0000 0.0000 0.0000 (multiplicity 2)
Ag 0.0000 0.0000 0.5000 (multiplicity 2)
Mo 0.0000 0.5000 0.2500 (multiplicity 4)

2.
Here is K2Rb2Hg2Au after structural relaxation from Alexandria. Energies are from PBE.

## Properties
DOS(E_F): 1.69 states/eV/f.u.
DFT formation energy: -0.2040 eV/atom
Total moment: 0.000 μB per atom

Lattice parameters (Å, degrees): 4.5040 8.6866 9.7689 66.30 76.82 75.16
Space group P-1 (No. 2)
Symmetry-distinct sites (fractional):
K 0.2096 0.3719 0.2131 (multiplicity 2)
Rb 0.4425 0.8151 0.3014 (multiplicity 2)
Hg 0.0951 0.8358 0.9714 (multiplicity 2)
Au 0.0000 0.5000 0.5000 (multiplicity 1)

3.
Here is CaHo2Zr after structural relaxation from Alexandria. Energies are from PBE.

## Properties
Relative energy among the computed polymorphs: 20 meV/atom
DOS(E_F): 5.80 states/eV/f.u.
DFT formation energy: 0.1223 eV/atom
Total moment: 0.000 μB per atom

Lattice parameters (Å, degrees): 3.4827 3.4827 34.9465 90.00 90.00 120.00
Space group R-3m (No. 166, hexagonal axes)
Symmetry-distinct sites (fractional):
Ca 0.0000 0.0000 0.0000 (multiplicity 3)
Ho 0.0000 0.0000 0.2411 (multiplicity 6)
Zr 0.0000 0.0000 0.5000 (multiplicity 3)

4.
Here is LiDyZnIn after structural relaxation from Alexandria. Energies are from PBE.

## Properties
DOS(E_F): 1.74 states/eV/f.u.
DFT formation energy: -0.3242 eV/atom
Total moment: 0.000 μB per atom

Lattice parameters (Å, degrees): 6.8090 6.8090 6.8090 90.00 90.00 90.00
Space group F-43m (No. 216)
Symmetry-distinct sites (fractional):
Li 0.0000 0.0000 0.0000 (multiplicity 4)
Dy 0.2500 0.2500 0.2500 (multiplicity 4)
Zn 0.0000 0.0000 0.5000 (multiplicity 4)
In 0.2500 0.2500 0.7500 (multiplicity 4)

5.
Here is K3Cd2Hg5 after structural relaxation from Alexandria. Energies are from PBE.

## Properties
Relative energy among the computed polymorphs: 42 meV/atom
DOS(E_F): 4.11 states/eV/f.u.
DFT formation energy: -0.1312 eV/atom
Total moment: 0.000 μB per atom

Lattice parameters (Å, degrees): 12.0854 16.0735 7.2428 90.00 90.00 90.00
Space group Ibam (No. 72)
Symmetry-distinct sites (fractional):
K 0.0000 0.0000 0.2500 (multiplicity 4)
K 0.2105 0.3660 0.0000 (multiplicity 8)
Cd 0.1694 0.1329 0.0000 (multiplicity 8)
Hg 0.0000 0.2152 0.2500 (multiplicity 8)
Hg 0.0000 0.5000 0.2500 (multiplicity 4)
Hg 0.0907 0.3550 0.5000 (multiplicity 8)

6.
Here is Ca2CrCo after structural relaxation from Alexandria. Energies are from PBE.

## Properties
Relative energy among the computed polymorphs: 304 meV/atom
DOS(E_F): 3.38 states/eV/f.u.
DFT formation energy: 0.6889 eV/atom
Total moment: 1.197 μB per atom

Lattice parameters (Å, degrees): 6.9797 6.9797 6.9797 90.00 90.00 90.00
Space group F-43m (No. 216)
Symmetry-distinct sites (fractional):
Ca 0.0000 0.0000 0.0000 (multiplicity 4)
Ca 0.2500 0.2500 0.2500 (multiplicity 4)
Cr 0.2500 0.2500 0.7500 (multiplicity 4)
Co 0.0000 0.0000 0.5000 (multiplicity 4)